[1]
{
  "formula": "Ca3ZrGe",
  "functional": "SCAN",
  "state": "PBEsol geometry",
  "lattice": [[5.477, 0.000, 0.000], [0.000, 5.477, 0.000], [0.000, 0.000, 5.477]],
  "species": ["Ca", "Ca", "Ca", "Zr", "Ge"],
  "fractional_positions": [[0.000, 0.000, 0.500], [0.000, 0.500, 0.000], [0.500, 0.000, 0.000], [0.000, 0.000, 0.000], [0.500, 0.500, 0.500]],
  "space_group": "Pm-3m, No. 221",
  "dos_at_fermi_per_ev_cell": 5.6,
  "formation_energy_ev_per_atom": 1.112
}



[2]
{
  "formula": "CaZr2Ge2",
  "functional": "SCAN",
  "state": "PBEsol geometry",
  "lattice": [[-2.153, 2.153, 6.018], [2.153, -2.153, 6.018], [2.153, 2.153, -6.018]],
  "species": ["Ca", "Zr", "Zr", "Ge", "Ge"],
  "fractional_positions": [[0.000, 0.000, 0.000], [0.250, 0.750, 0.500], [0.750, 0.250, 0.500], [0.394, 0.394, 0.000], [0.606, 0.606, 0.000]],
  "space_group": "I4/mmm, No. 139",
  "dos_at_fermi_per_ev_cell": 5.0,
  "formation_energy_ev_per_atom": -0.555
}



[3]
{
  "formula": "Ca2ZrGe2",
  "functional": "SCAN",
  "state": "PBEsol geometry",
  "lattice": [[-2.070, 2.070, 6.391], [2.070, -2.070, 6.391], [2.070, 2.070, -6.391]],
  "species": ["Ca", "Ca", "Zr", "Ge", "Ge"],
  "fractional_positions": [[0.250, 0.750, 0.500], [0.750, 0.250, 0.500], [0.000, 0.000, 0.000], [0.408, 0.408, 0.000], [0.592, 0.592, 0.000]],
  "space_group": "I4/mmm, No. 139",
  "dos_at_fermi_per_ev_cell": 2.1,
  "formation_energy_ev_per_atom": -0.219
}



[4]
{
  "formula": "CaH2",
  "functional": "SCAN",
  "state": "PBEsol geometry",
  "lattice": [[3.765, 0.000, 0.000], [-1.882, 3.260, 0.000], [0.000, 0.000, 5.143]],
  "species": ["Ca", "Ca", "H", "H", "H", "H"],
  "fractional_positions": [[0.333, 0.667, 0.250], [0.667, 0.333, 0.750], [0.000, 0.000, 0.000], [0.000, 0.000, 0.500], [0.333, 0.667, 0.750], [0.667, 0.333, 0.250]],
  "space_group": "P6_3/mmc, No. 194",
  "total_energy_ev_per_cell": -36.81
}



[5]
{
  "formula": "CaH2",
  "functional": "SCAN",
  "state": "PBEsol geometry",
  "lattice": [[5.768, 0.000, 0.000], [0.000, 3.512, 0.000], [0.000, 0.000, 6.651]],
  "species": ["Ca", "Ca", "Ca", "Ca", "H", "H", "H", "H", "H", "H", "H", "H"],
  "fractional_positions": [[0.240, 0.250, 0.111], [0.260, 0.750, 0.611], [0.740, 0.250, 0.389], [0.760, 0.750, 0.889], [0.026, 0.750, 0.319], [0.146, 0.750, 0.928], [0.354, 0.250, 0.428], [0.474, 0.250, 0.819], [0.526, 0.750, 0.181], [0.646, 0.750, 0.572], [0.854, 0.250, 0.072], [0.974, 0.250, 0.681]],
  "space_group": "Pnma, No. 62",
  "dos_at_fermi_per_ev_cell": 0.0,
  "total_energy_ev_per_cell": -74.35
}



[6]
{
  "formula": "CaHf3H",
  "functional": "SCAN",
  "state": "PBEsol geometry",
  "lattice": [[4.546, 0.000, 0.000], [0.000, 4.546, 0.000], [0.000, 0.000, 4.546]],
  "species": ["Ca", "Hf", "Hf", "Hf", "H"],
  "fractional_positions": [[0.000, 0.000, 0.000], [0.000, 0.500, 0.500], [0.500, 0.000, 0.500], [0.500, 0.500, 0.000], [0.500, 0.500, 0.500]],
  "space_group": "Pm-3m, No. 221",
  "dos_at_fermi_per_ev_cell": 6.0,
  "total_energy_ev_per_cell": -199.98
}



[7]
{
  "formula": "CaHg3H",
  "functional": "SCAN",
  "state": "PBEsol geometry",
  "lattice": [[4.647, 0.000, 0.000], [0.000, 4.647, 0.000], [0.000, 0.000, 4.647]],
  "species": ["Ca", "Hg", "Hg", "Hg", "H"],
  "fractional_positions": [[0.000, 0.000, 0.000], [0.000, 0.500, 0.500], [0.500, 0.000, 0.500], [0.500, 0.500, 0.000], [0.500, 0.500, 0.500]],
  "space_group": "Pm-3m, No. 221",
  "dos_at_fermi_per_ev_cell": 2.0,
  "total_energy_ev_per_cell": -217.70
}



[8]
{
  "formula": "Ca3HgH",
  "functional": "SCAN",
  "state": "PBEsol geometry",
  "lattice": [[4.893, 0.000, 0.000], [0.000, 4.893, 0.000], [0.000, 0.000, 4.893]],
  "species": ["Ca", "Ca", "Ca", "Hg", "H"],
  "fractional_positions": [[0.000, 0.000, 0.500], [0.000, 0.500, 0.000], [0.500, 0.000, 0.000], [0.500, 0.500, 0.500], [0.000, 0.000, 0.000]],
  "space_group": "Pm-3m, No. 221",
  "dos_at_fermi_per_ev_cell": 3.6,
  "total_energy_ev_per_cell": -102.73
}